No. 1
Density functional theory data (PBE) for a relaxed structure of YCoRu2.

Structure (extended XYZ):
```
4
Lattice="-1.644 3.972 -1.398 -2.427 2.562 2.825 1.730 3.854 1.608" Properties=species:S:1:pos:R:3 pbc="T T T"
Ru -0.585 2.597 0.759
Ru 0.000 0.000 0.000
Y -1.755 7.791 2.277
Co -1.170 5.194 1.518
```

VASP energy, eV/atom: -7.828
Distance to the lowest polymorph of the same formula, eV per atom: 0.059
Energy of formation from the pure elements, eV per atom: 0.2026


No. 2
Density functional theory data (PBE) for a relaxed structure of YCoRu2.

Structure (extended XYZ):
```
4
Lattice="-1.327 -5.027 0.903 4.214 1.907 2.540 -0.875 0.050 2.751" Properties=species:S:1:pos:R:3 pbc="T T T"
Ru 0.000 0.000 0.000
Ru 1.443 -1.560 1.722
Y -1.101 -2.489 1.827
Co 1.669 0.979 2.646
```

VASP energy, eV/atom: -7.735
Distance to the lowest polymorph of the same formula, eV per atom: 0.152
Energy of formation from the pure elements, eV per atom: 0.2949


No. 3
Density functional theory data (PBE) for a relaxed structure of YCoRu.

Structure (extended XYZ):
```
3
Lattice="-1.934 -3.898 3.303 0.588 -2.483 4.831 -2.069 1.427 2.092" Properties=species:S:1:pos:R:3 pbc="T T T"
Co -1.372 -6.092 7.910
Y -1.585 -3.790 6.129
Ru -1.802 -1.454 4.321
```

VASP energy, eV/atom: -7.552
Distance to the lowest polymorph of the same formula, eV per atom: 0.309
Energy of formation from the pure elements, eV per atom: 0.0635


No. 4
Density functional theory data (PBE) for a relaxed structure of YCo2Ru.

Structure (extended XYZ):
```
4
Lattice="3.132 0.000 0.000 0.000 3.132 0.000 0.000 0.000 6.450" Properties=species:S:1:pos:R:3 pbc="T T T"
Co 0.000 0.000 0.423
Co 1.566 1.566 1.508
Y 1.566 1.566 4.841
Ru 0.000 0.000 2.904
```

VASP energy, eV/atom: -7.327
Distance to the lowest polymorph of the same formula, eV per atom: 0.212
Energy of formation from the pure elements, eV per atom: 0.1604


No. 5
Density functional theory data (PBE) for a relaxed structure of Y6Co2Ru.

Structure (extended XYZ):
```
18
Lattice="-3.273 -7.427 -1.186 5.206 -0.209 6.335 -5.912 5.433 1.677" Properties=species:S:1:pos:R:3 pbc="T T T"
Y -1.757 -5.683 0.832
Y -1.108 -2.323 1.417
Y -4.113 -3.308 -0.180
Y 0.378 -0.692 4.250
Y -0.174 -6.012 3.905
Y -4.356 -1.511 2.576
Y -2.222 3.480 5.994
Y -2.870 0.120 5.410
Y -2.091 -3.209 4.627
Y -3.804 3.809 2.922
Y 0.135 1.105 7.006
Y -1.888 1.005 2.200
Co -4.866 1.027 3.350
Co 0.887 -3.230 3.477
Co -6.103 -1.325 0.327
Co -3.081 -0.669 0.165
Ru 0.000 0.000 0.000
Ru -0.353 2.612 4.006
```

VASP energy, eV/atom: -7.116
Energy of formation from the pure elements, eV per atom: -0.1964


No. 6
Density functional theory data (PBE) for a relaxed structure of YCo2Ru.

Structure (extended XYZ):
```
4
Lattice="-1.982 1.395 -4.063 -0.442 -1.374 -4.505 -4.214 -2.269 -0.467" Properties=species:S:1:pos:R:3 pbc="T T T"
Co -3.943 -2.084 -0.680
Co -5.028 -1.722 -6.725
Ru -3.535 -1.274 -4.331
Y -1.664 -0.561 -2.284
```

VASP energy, eV/atom: -7.305
Distance to the lowest polymorph of the same formula, eV per atom: 0.234
Energy of formation from the pure elements, eV per atom: 0.1825


No. 7
Density functional theory data (PBE) for a relaxed structure of YCoRu2.

Structure (extended XYZ):
```
4
Lattice="-1.105 3.012 -3.522 -2.803 0.536 -3.815 -3.942 2.483 1.862" Properties=species:S:1:pos:R:3 pbc="T T T"
Ru -7.777 5.982 -5.493
Ru -6.166 4.683 -3.850
Y -3.861 2.977 -2.782
Co -1.821 1.434 -1.563
```

VASP energy, eV/atom: -7.845
Distance to the lowest polymorph of the same formula, eV per atom: 0.042
Energy of formation from the pure elements, eV per atom: 0.1856


No. 8
Density functional theory data (PBE) for a relaxed structure of YCoRu.

Structure (extended XYZ):
```
6
Lattice="0.421 3.508 4.125 -4.319 0.266 -3.282 -1.247 -5.301 0.088" Properties=species:S:1:pos:R:3 pbc="T T T"
Co -0.698 -1.416 3.112
Co -4.446 -0.110 -2.182
Ru -0.623 -2.650 0.044
Ru -2.572 -0.763 0.465
Y -3.705 -3.612 -0.957
Y -1.440 2.086 1.887
```

VASP energy, eV/atom: -7.559
Distance to the lowest polymorph of the same formula, eV per atom: 0.302
Energy of formation from the pure elements, eV per atom: 0.0567


No. 9
Density functional theory data (PBE) for a relaxed structure of Y3Co3Ru.

Structure (extended XYZ):
```
14
Lattice="4.137 0.000 0.000 -2.068 5.079 0.000 0.000 0.000 12.603" Properties=species:S:1:pos:R:3 pbc="T T T"
Y 2.068 0.136 9.452
Y 2.068 2.822 4.983
Y 0.000 2.257 7.619
Y 0.000 2.257 11.285
Y 2.068 2.822 1.318
Y 0.000 4.942 3.151
Co 2.068 4.390 11.466
Co 0.000 1.843 3.151
Co 2.068 4.390 7.438
Co 2.068 3.235 9.452
Co 0.000 0.689 5.165
Co 0.000 0.689 1.137
Ru 2.068 0.000 6.301
Ru 2.068 0.000 0.000
```

VASP energy, eV/atom: -7.365
Energy of formation from the pure elements, eV per atom: -0.2246


No. 10
Density functional theory data (PBE) for a relaxed structure of YCoRu2.

Structure (extended XYZ):
```
4
Lattice="5.525 0.060 0.003 2.845 4.737 -0.003 -3.631 -3.365 2.454" Properties=species:S:1:pos:R:3 pbc="T T T"
Y 3.040 -0.453 1.228
Co 1.699 1.885 1.225
Ru 0.280 0.161 0.000
Ru 3.905 2.238 0.000
```

VASP energy, eV/atom: -7.848
Distance to the lowest polymorph of the same formula, eV per atom: 0.039
Energy of formation from the pure elements, eV per atom: 0.1823


No. 11
Density functional theory data (PBE) for a relaxed structure of YCo2Ru.

Structure (extended XYZ):
```
4
Lattice="5.190 0.005 -0.006 2.246 4.679 0.006 -3.260 -3.070 2.625" Properties=species:S:1:pos:R:3 pbc="T T T"
Co 3.863 2.433 0.000
Co 7.291 4.593 0.000
Y 1.352 1.976 1.315
Ru 2.824 -0.361 1.309
```

VASP energy, eV/atom: -7.266
Distance to the lowest polymorph of the same formula, eV per atom: 0.273
Energy of formation from the pure elements, eV per atom: 0.2218


No. 12
Density functional theory data (PBE) for a relaxed structure of YCoRu2.

Structure (extended XYZ):
```
4
Lattice="-4.253 3.039 1.202 -4.340 -2.435 2.002 5.228 1.004 0.651" Properties=species:S:1:pos:R:3 pbc="T T T"
Ru -0.032 0.002 0.012
Ru -1.821 2.184 1.788
Co -1.523 -0.577 2.060
Y -4.285 0.302 1.598
```

VASP energy, eV/atom: -7.803
Distance to the lowest polymorph of the same formula, eV per atom: 0.084
Energy of formation from the pure elements, eV per atom: 0.2275


No. 13
Density functional theory data (PBE) for a relaxed structure of YCoRu2.

Structure (extended XYZ):
```
4
Lattice="4.952 0.066 0.000 1.749 4.633 0.000 -3.351 -2.350 2.789" Properties=species:S:1:pos:R:3 pbc="T T T"
Ru 0.000 0.000 0.000
Ru 3.351 2.350 0.000
Co 2.476 0.033 1.395
Y 0.875 2.317 1.395
```

VASP energy, eV/atom: -7.750
Distance to the lowest polymorph of the same formula, eV per atom: 0.137
Energy of formation from the pure elements, eV per atom: 0.2805


No. 14
Density functional theory data (PBE) for a relaxed structure of YCo2Ru.

Structure (extended XYZ):
```
4
Lattice="-0.709 -4.054 1.697 -4.106 -1.720 0.015 -1.000 -3.398 -2.697" Properties=species:S:1:pos:R:3 pbc="T T T"
Ru -2.908 -4.586 -0.492
Co -1.454 -2.293 -0.246
Co -4.362 -6.879 -0.738
Y 0.000 0.000 0.000
```

VASP energy, eV/atom: -7.351
Distance to the lowest polymorph of the same formula, eV per atom: 0.188
Energy of formation from the pure elements, eV per atom: 0.1373